Pm2MgSi4Rh3: relaxed, GGA-PBE.

Lattice parameters (Å, degrees): 4.1823 4.1823 10.2486 90.00 90.00 90.00
Closest atoms and distances in Å follow each position.
Space group P-4m2 (No. 115)
Unique sites:
Pm: 0.0000 0.5000 0.2374 x2  8 Si 3.18-3.21, 6 Rh 3.20-3.41, 2 Mg 3.41
Mg: 0.0000 0.0000 0.5000 x1  4 Si 2.59
Si: 0.0000 0.0000 0.0000 x1  4 Rh 2.41
Si: 0.0000 0.5000 0.6488 x2  3 Rh 2.39-2.59, 2 Mg 2.59
Si: 0.5000 0.5000 0.0000 x1  4 Rh 2.41
Rh: 0.0000 0.5000 0.8823 x2  5 Si 2.39-2.41
Rh: 0.5000 0.5000 0.5000 x1  4 Si 2.59

- ΔE_f (raw): -0.871 eV/atom
- Calculated total energy: -6.36 eV per atom

***

PmMgSi2Rh: relaxed, GGA-PBE.

Lattice parameters (Å, degrees): 4.0643 4.0643 10.9675 90.00 90.00 90.00
Closest atoms and distances in Å follow each position.
Space group I-4m2 (No. 119)
Unique sites:
Pm: 0.0000 0.0000 0.0000 x2  8 Si 3.11, 4 Mg 3.41, 4 Rh 3.41
Mg: 0.0000 0.5000 0.7500 x2  4 Si 2.56
Si: 0.0000 0.0000 0.3919 x4  1 Si 2.37, 2 Mg 2.56, 2 Rh 2.56
Rh: 0.0000 0.5000 0.2500 x2  4 Si 2.56

- ΔE_f (raw): -0.769 eV/atom
- Calculated total energy: -5.68 eV per atom

***

Pm2MgSi2Rh5: relaxed, GGA-PBE.

Lattice parameters (Å, degrees): 10.0310 10.0310 3.4510 90.00 90.00 90.00
Closest atoms and distances in Å follow each position.
Space group P4/mbm (No. 127)
Unique sites:
Pm: 0.1756 0.3244 0.0000 x4  3 Si 2.86-3.04, 10 Rh 3.03-3.18
Mg: 0.0000 0.0000 0.0000 x2  8 Rh 2.88
Si: 0.1227 0.6227 0.0000 x4  6 Rh 2.41-2.45
Rh: 0.0000 0.5000 0.5000 x2  4 Si 2.45
Rh: 0.0688 0.7812 0.5000 x8  2 Si 2.41

- ΔE_f (raw): -0.875 eV/atom
- Calculated total energy: -6.74 eV per atom